[1]
A geometry-optimized Cu2Ni2Te structure, computed with PBE.

Computed properties:
Total moment = 0.0 μB per formula unit
Raw formation energy = 1.2 eV/f.u.
Crystal system = tetragonal

a = 6.8854 Å, b = 6.8854 Å, c = 2.9734 Å
α = 90.00°, β = 90.00°, γ = 90.00°
Last column: nearest neighbours and their distance in Å.
Element x y z (fractional)
Ni: 0.1621 0.6621 0.5000  6 Cu 2.50-2.52
Ni: 0.6621 0.8379 0.5000  6 Cu 2.50-2.52
Ni: 0.8379 0.3379 0.5000  6 Cu 2.50-2.52
Ni: 0.3379 0.1621 0.5000  6 Cu 2.50-2.52
Te: 0.0000 0.0000 0.0000  4 Cu 2.71, 2 Te 2.97, 8 Ni 2.98
Te: 0.5000 0.5000 0.0000  4 Cu 2.71, 2 Te 2.97, 8 Ni 2.98
Cu: 0.3715 0.8715 0.0000  1 Cu 2.50, 6 Ni 2.50-2.52, 2 Te 2.71
Cu: 0.8715 0.6285 0.0000  1 Cu 2.50, 6 Ni 2.50-2.52, 2 Te 2.71
Cu: 0.6285 0.1285 0.0000  1 Cu 2.50, 6 Ni 2.50-2.52, 2 Te 2.71
Cu: 0.1285 0.3715 0.0000  1 Cu 2.50, 6 Ni 2.50-2.52, 2 Te 2.71


[2]
A geometry-optimized CuNiTe2 structure, computed with PBE.

Computed properties:
Total moment = 0.0 μB per formula unit
Raw formation energy = 0.0 eV/f.u.
Crystal system = orthorhombic

a = 3.5067 Å, b = 3.2804 Å, c = 7.4709 Å
α = 90.00°, β = 90.00°, γ = 90.00°
Last column: nearest neighbours and their distance in Å.
Element x y z (fractional)
Cu: 0.0000 0.0000 0.5415  5 Te 2.55-2.76, 4 Ni 2.73
Ni: 0.5000 0.5000 0.7160  5 Te 2.66-2.70, 4 Cu 2.73
Te: 0.0000 0.0000 0.8826  1 Cu 2.55, 4 Ni 2.70
Te: 0.5000 0.5000 0.3599  1 Ni 2.66, 4 Cu 2.76


[3]
A geometry-optimized Cu2NiTe structure, computed with PBE.

Computed properties:
Total moment = 0.0 μB per formula unit
Raw formation energy = 0.8 eV/f.u.
Crystal system = tetragonal

a = 3.7436 Å, b = 3.7436 Å, c = 9.3839 Å
α = 78.49°, β = 78.49°, γ = 90.00°
Last column: nearest neighbours and their distance in Å.
Element x y z (fractional)
Ni: 0.5000 0.5000 0.0000  4 Cu 2.58, 4 Te 2.65
Ni: 0.2500 0.7500 0.5000  4 Cu 2.58, 4 Te 2.65
Te: 0.0000 0.0000 0.0000  4 Cu 2.64, 4 Ni 2.65
Te: 0.7500 0.2500 0.5000  4 Cu 2.64, 4 Ni 2.65
Cu: 0.6016 0.1250 0.2500  4 Cu 2.53-2.77, 2 Ni 2.58, 2 Te 2.64
Cu: 0.1484 0.6250 0.2500  4 Cu 2.53-2.77, 2 Ni 2.58, 2 Te 2.64
Cu: 0.3750 0.3984 0.7500  4 Cu 2.53-2.77, 2 Ni 2.58, 2 Te 2.64
Cu: 0.8750 0.8516 0.7500  4 Cu 2.53-2.77, 2 Ni 2.58, 2 Te 2.64


[4]
A geometry-optimized CuNiTe2 structure, computed with PBE.

Computed properties:
Total moment = 0.0 μB per formula unit
Raw formation energy = -0.2 eV/f.u.
Crystal system = monoclinic

a = 3.7943 Å, b = 3.7943 Å, c = 6.6947 Å
α = 73.54°, β = 73.54°, γ = 60.08°
Last column: nearest neighbours and their distance in Å.
Element x y z (fractional)
Cu: 0.7500 0.7500 0.7500  6 Te 2.76-2.78
Ni: 0.2500 0.2500 0.2500  6 Te 2.63-2.64
Te: 0.9923 0.9923 0.0183  3 Ni 2.63-2.64, 3 Cu 2.76-2.78
Te: 0.5077 0.5077 0.4817  3 Ni 2.63-2.64, 3 Cu 2.76-2.78


[5]
A geometry-optimized Cu2NiTe structure, computed with PBE.

Computed properties:
Total moment = 0.0 μB per formula unit
Raw formation energy = 0.6 eV/f.u.
Crystal system = orthorhombic

a = 3.3276 Å, b = 3.3590 Å, c = 6.3223 Å
α = 57.94°, β = 90.00°, γ = 90.00°
Last column: nearest neighbours and their distance in Å.
Element x y z (fractional)
Cu: 0.0000 0.9626 0.0373  1 Ni 2.49, 4 Cu 2.59
Cu: 0.5000 0.2636 0.2365  4 Cu 2.59, 2 Te 2.62-2.74, 4 Ni 2.76
Ni: 0.0000 0.4983 0.5016  5 Cu 2.49-2.76, 4 Te 2.65
Te: 0.5000 0.7754 0.7246  6 Cu 2.62-2.90, 4 Ni 2.65


[6]
A geometry-optimized CuNiTe2 structure, computed with PBE.

Computed properties:
Total moment = 0.0 μB per formula unit
Raw formation energy = -0.3 eV/f.u.
Crystal system = monoclinic

a = 3.9990 Å, b = 3.7645 Å, c = 6.6627 Å
α = 73.59°, β = 72.42°, γ = 90.00°
Last column: nearest neighbours and their distance in Å.
Element x y z (fractional)
Cu: 0.2500 0.7500 0.5000  4 Te 2.62-2.63, 4 Ni 2.75
Ni: 0.7500 0.2500 0.5000  4 Te 2.54, 4 Cu 2.75
Te: 0.8919 0.8903 0.2195  2 Ni 2.54, 2 Cu 2.62-2.63
Te: 0.6081 0.6097 0.7805  2 Ni 2.54, 2 Cu 2.62-2.63


[7]
A geometry-optimized CuNiTe2 structure, computed with PBE.

Computed properties:
Total moment = 0.0 μB per formula unit
Raw formation energy = 0.7 eV/f.u.
Crystal system = monoclinic

a = 3.7031 Å, b = 3.1218 Å, c = 7.7987 Å
α = 110.99°, β = 90.00°, γ = 90.00°
Last column: nearest neighbours and their distance in Å.
Element x y z (fractional)
Cu: 0.5000 0.2500 0.2500  4 Te 2.72
Ni: 0.5000 0.7500 0.7500  4 Te 2.57
Te: 0.0000 0.8286 0.9880  2 Ni 2.57, 2 Cu 2.72
Te: 0.0000 0.6714 0.5120  2 Ni 2.57, 2 Cu 2.72


[8]
A geometry-optimized Cu4NiTe structure, computed with PBE.

Computed properties:
Total moment = 0.0 μB per formula unit
Raw formation energy = 1.2 eV/f.u.
Crystal system = cubic

a = 4.9196 Å, b = 4.9196 Å, c = 4.9196 Å
α = 60.00°, β = 60.00°, γ = 60.00°
Last column: nearest neighbours and their distance in Å.
Element x y z (fractional)
Cu: 0.8720 0.3760 0.3760  6 Cu 2.44-2.48
Cu: 0.3760 0.3760 0.8720  6 Cu 2.44-2.48
Cu: 0.3760 0.8720 0.3760  6 Cu 2.44-2.48
Cu: 0.3760 0.3760 0.3760  6 Cu 2.44-2.48
Ni: 0.7500 0.7500 0.7500  12 Cu 2.88, 4 Te 3.01
Te: 0.0000 0.0000 0.0000  12 Cu 2.89, 4 Ni 3.01